[1]
MgCdPb, relaxed, DFT GGA-PBEsol; ΔH_f (0 K) = -0.024 eV/atom; symmetry = Imm2 (44)
1.0
-0.7523 -2.6649 1.8754
-0.8006 -2.3703 -3.6894
5.4668 1.1125 0.7919
Pb Cd Mg
1 1 1
Direct
0.3335 0.3335 0.6670 Pb
0.0057 0.0057 0.0115 Cd
0.6608 0.6608 0.3215 Mg

***

[2]
TcN, relaxed, DFT GGA-PBEsol; E_form (uncorrected) = -0.1 eV per formula unit; symmetry = F-43m (216)
1.0
-0.4174 0.5126 -3.1282
1.5679 -1.7890 -2.1363
-1.5896 -2.1347 -1.7716
Tc N
1 1
Direct
0.0000 0.0000 0.0000 Tc
0.7500 0.7500 0.7500 N

***

[3]
LiPt2Br, relaxed, DFT GGA-PBEsol; E_form (uncorrected) = -0.6 eV per formula unit; symmetry = C2/m (12)
1.0
-2.3569 -2.2343 0.9902
2.6774 -2.5157 0.6964
1.4704 3.0692 4.6045
Br Pt Li
1 2 1
Direct
0.5000 0.0000 0.0000 Br
0.7200 0.7382 0.4400 Pt
0.2800 0.2618 0.5600 Pt
0.0000 0.5000 0.0000 Li

***

[4]
SbSe7, relaxed, DFT GGA-PBEsol; E_form (uncorrected) = 3.9 eV per formula unit; symmetry = Fm-3m (225)
1.0
6.1147 0.0000 0.0000
3.0573 5.2955 0.0000
3.0573 1.7652 4.9926
Se Sb
7 1
Direct
0.0000 0.0000 0.5000 Se
0.5000 0.0000 0.5000 Se
0.0000 0.5000 0.0000 Se
0.5000 0.5000 0.0000 Se
0.0000 0.5000 0.5000 Se
0.5000 0.5000 0.5000 Se
0.5000 0.0000 0.0000 Se
0.0000 0.0000 0.0000 Sb

***

[5]
Rb3ErF6, relaxed, DFT GGA-PBEsol; E_form (uncorrected) = -33.0 eV per formula unit; symmetry = Fm-3m (225)
1.0
-1.3319 2.5592 -6.0230
-0.2777 -3.9999 -5.3407
-5.8673 -1.2483 -2.9354
F Er Rb
6 1 3
Direct
0.7750 0.2250 0.2250 F
0.7750 0.7750 0.2250 F
0.2250 0.7750 0.2250 F
0.7750 0.2250 0.7750 F
0.2250 0.7750 0.7750 F
0.2250 0.2250 0.7750 F
0.0000 0.0000 0.0000 Er
0.2500 0.2500 0.2500 Rb
0.7500 0.7500 0.7500 Rb
0.5000 0.5000 0.5000 Rb

***

[6]
CoTcHg2, relaxed, DFT GGA-PBEsol; ΔH_f (0 K) = 0.618 eV/atom; symmetry = P4/mmm (123)
1.0
-0.4214 -0.5271 -2.9164
2.2808 -1.9387 0.0208
-4.4580 -5.2277 1.5890
Hg Co Tc
2 1 1
Direct
0.0000 0.0000 0.2665 Hg
0.0000 0.0000 0.7335 Hg
0.5000 0.5000 0.5000 Co
0.5000 0.5000 0.0000 Tc

***

[7]
Mn2NbCrGa, relaxed, DFT GGA-PBEsol; ΔH_f (0 K) = 1.505 eV/atom; symmetry = P4/mmm (123)
1.0
-1.0885 -4.3533 0.5934
1.4279 -0.9286 -4.1937
4.5389 -0.8971 1.7441
Mn Cr Nb Ga
2 1 1 1
Direct
0.5000 0.0000 0.0000 Mn
0.0000 0.5000 0.0000 Mn
0.5000 0.5000 0.5000 Cr
0.0000 0.0000 0.0000 Nb
0.0000 0.0000 0.5000 Ga

***

[8]
BeSnBi2, relaxed, DFT GGA-PBEsol; ΔH_f (0 K) = 0.223 eV/atom; symmetry = I-42d (122)
1.0
-4.7654 -3.5110 1.8937
-0.8186 -2.0267 -5.8176
6.7477 -2.0035 3.0680
Bi Be Sn
4 2 2
Direct
0.8188 0.3750 0.2500 Bi
0.4312 0.8750 0.2500 Bi
0.6250 0.5688 0.7500 Bi
0.1250 0.1812 0.7500 Bi
0.5000 0.5000 0.0000 Be
0.7500 0.2500 0.5000 Be
0.2500 0.7500 0.5000 Sn
0.0000 0.0000 0.0000 Sn